{
  "formula": "MoH2CBr",
  "functional": "PBE-GGA",
  "state": "optimized geometry",
  "cell": [[-0.8241, -1.9378, -2.3844], [6.1331, 2.5337, -4.1788], [1.8030, -2.3039, 1.2492]],
  "species": ["C", "Br", "H", "H", "Mo"],
  "fractional_positions": [[0.0000, 0.5000, 0.0000], [0.0000, 0.0000, 0.0000], [0.5000, 0.0000, 0.0000], [0.0000, 0.0000, 0.5000], [0.5000, 0.5000, 0.5000]],
  "space_group": "P4/mmm (123)",
  "e_tot_ev_per_atom": -4.555
}